The following is a GGA-PBE calculation of crystalline TaCl5 at its relaxed geometry, from the Alexandria database.

Summary:
Its final energy is -15.74 eV for the cell shown. The volume comes out at 122.1 Å³/cell. The uncorrected formation energy is 0.89 eV per atom. For the magnetization, the calculation gives 1.82 Bohr magnetons per cell.

a = 5.5693 Å, b = 5.5693 Å, c = 5.5693 Å
α = 60.00°, β = 60.00°, γ = 60.00°
Closest atoms and distances in Å follow each position.
Element x y z (fractional)
Cl1 0.2500 0.2500 0.2500  12 Cl 3.27, 4 Ta 3.41
Cl2 0.6257 0.6257 0.1229  6 Cl 2.77-2.80
Cl3 0.6257 0.6257 0.6257  6 Cl 2.77-2.80
Cl4 0.6257 0.1229 0.6257  6 Cl 2.77-2.80
Cl5 0.1229 0.6257 0.6257  6 Cl 2.77-2.80
Ta1 0.0000 0.0000 0.0000  16 Cl 3.26-3.41